First-principles (PBE-GGA) data for a relaxed structure of TbPrNdHo3, as listed in Alexandria.

a = 10.334 Å, b = 10.334 Å, c = 7.078 Å
α = 90.14°, β = 90.14°, γ = 31.68°
Element x y z (fractional)
Tb 0.150 0.150 0.460
Tb 0.850 0.850 0.540
Pr 0.147 0.147 0.033
Pr 0.853 0.853 0.967
Nd 0.446 0.446 0.740
Nd 0.554 0.554 0.260
Ho 0.023 0.023 0.742
Ho 0.279 0.279 0.753
Ho 0.334 0.334 0.262
Ho 0.666 0.666 0.738
Ho 0.721 0.721 0.247
Ho 0.977 0.977 0.258

Calculated values
For the total magnetization, the calculation gives 0.0000 μB per atom. Its uncorrected energy is -4.46 eV per atom.